[1]
A plane-wave DFT calculation with PBE-GGA was carried out for an optimized crystal structure of LiThIn2.

a b c (Å): 4.689 4.689 4.651
angles (deg): 90.00 90.00 90.00
Sites, in units of the cell vectors:
Li  0.000  0.000  0.000
Th  0.500  0.500  0.000
In  0.000  0.500  0.500
In  0.500  0.000  0.500

Output
DFT formation energy ... -242 meV per atom
Volume ... 102 Å³/cell

[2]
A plane-wave DFT calculation with PBE-GGA was carried out for an optimized crystal structure of TbPrTmZr.

a b c (Å): 5.525 5.525 5.525
angles (deg): 60.00 60.00 60.00
Sites, in units of the cell vectors:
Tb  0.000  0.000  0.000
Pr  0.750  0.750  0.750
Tm  0.500  0.500  0.500
Zr  0.250  0.250  0.250

Output
DFT formation energy ... 226 meV per atom
Volume ... 119 Å³/cell

[3]
A plane-wave DFT calculation with PBE-GGA was carried out for an optimized crystal structure of CdAu4Se.

a b c (Å): 5.566 5.566 5.566
angles (deg): 60.00 60.00 60.00
Sites, in units of the cell vectors:
Cd  0.000  0.000  0.000
Au  0.375  0.375  0.375
Au  0.375  0.375  0.876
Au  0.375  0.876  0.375
Au  0.876  0.375  0.375
Se  0.750  0.750  0.750

Output
Volume ... 122 Å³/cell
E_form (uncorrected) ... 0.08 eV per atom

[4]
A plane-wave DFT calculation with PBE-GGA was carried out for an optimized crystal structure of AgSn2Os2.

a b c (Å): 7.564 7.564 3.199
angles (deg): 90.00 90.00 90.00
Sites, in units of the cell vectors:
Ag  0.000  0.000  0.000
Ag  0.500  0.500  0.000
Sn  0.158  0.342  0.500
Sn  0.342  0.842  0.500
Sn  0.658  0.158  0.500
Sn  0.842  0.658  0.500
Os  0.139  0.639  0.000
Os  0.361  0.139  0.000
Os  0.639  0.861  0.000
Os  0.861  0.361  0.000

Output
DFT formation energy ... 386 meV per atom
Volume ... 183 Å³/cell

[5]
A plane-wave DFT calculation with PBE-GGA was carried out for an optimized crystal structure of Nb2TeAs2.

a b c (Å): 7.573 7.573 3.343
angles (deg): 90.00 90.00 90.00
Sites, in units of the cell vectors:
Nb  0.147  0.353  0.000
Nb  0.353  0.853  0.000
Nb  0.647  0.147  0.000
Nb  0.853  0.647  0.000
Te  0.000  0.000  0.000
Te  0.500  0.500  0.000
As  0.137  0.637  0.500
As  0.363  0.137  0.500
As  0.637  0.863  0.500
As  0.863  0.363  0.500

Output
Volume ... 192 Å³/cell
E_form (uncorrected) ... -0.36 eV per atom
Excess energy over the best structure of this formula in the dataset ... 0 kJ/mol of formula units

[6]
A plane-wave DFT calculation with PBE-GGA was carried out for an optimized crystal structure of ClF3.

a b c (Å): 9.147 6.263 4.710
angles (deg): 90.00 90.00 90.00
Sites, in units of the cell vectors:
Cl  0.156  0.250  0.126
Cl  0.344  0.750  0.626
Cl  0.656  0.250  0.374
Cl  0.844  0.750  0.874
F  0.045  0.250  0.398
F  0.152  0.529  0.136
F  0.152  0.971  0.136
F  0.348  0.029  0.636
F  0.348  0.471  0.636
F  0.455  0.750  0.898
F  0.545  0.250  0.102
F  0.652  0.529  0.364
F  0.652  0.971  0.364
F  0.848  0.029  0.864
F  0.848  0.471  0.864
F  0.955  0.750  0.602

Output
Volume ... 270 Å³/cell
E_form (uncorrected) ... -0.63 eV per atom

Which of these has the highest volume? ClF3